Crystalline Ac3NdTl3 at its relaxed geometry. Source: the Alexandria database, functional GGA-PBE. Values from VASP.

Properties
symmetry: No. 65
M_tot: 0.45 μB/cell
N(E_F): 18.7 states/eV per cell
ΔH_f (0 K): -0.227 eV per atom

```
&SYSTEM
  ibrav = 0, nat = 14, ntyp = 3
/
ATOMIC_SPECIES
Ac 227.00 Ac.upf
Nd 144.24 Nd.upf
Tl 204.38 Tl.upf
CELL_PARAMETERS angstrom
5.610 -5.860 0.000
5.610 5.860 0.000
0.000 0.000 7.884
ATOMIC_POSITIONS crystal
Ac 0.204 0.204 0.500
Ac 0.232 0.768 0.000
Ac 0.260 0.260 0.000
Ac 0.740 0.740 0.000
Ac 0.768 0.232 0.000
Ac 0.796 0.796 0.500
Nd 0.274 0.726 0.500
Nd 0.726 0.274 0.500
Tl 0.000 0.500 0.265
Tl 0.000 0.500 0.735
Tl 0.500 0.000 0.265
Tl 0.500 0.000 0.735
Tl 0.500 0.500 0.264
Tl 0.500 0.500 0.736
```


Crystalline Ac2NdTl2 at its relaxed geometry. Source: the Alexandria database, functional GGA-PBE. Values from VASP.

Properties
symmetry: No. 71
M_tot: 0.00 μB/cell
N(E_F): 5.8 states/eV per cell
ΔH_f (0 K): -0.285 eV per atom

```
&SYSTEM
  ibrav = 0, nat = 5, ntyp = 3
/
ATOMIC_SPECIES
Ac 227.00 Ac.upf
Nd 144.24 Nd.upf
Tl 204.38 Tl.upf
CELL_PARAMETERS angstrom
-2.512 3.657 5.000
2.512 -3.657 5.000
2.512 3.657 -5.000
ATOMIC_POSITIONS crystal
Ac 0.196 0.196 0.000
Ac 0.804 0.804 0.000
Nd 0.500 0.000 0.500
Tl 0.221 0.500 0.721
Tl 0.779 0.500 0.279
```


Crystalline AcNdTl at its relaxed geometry. Source: the Alexandria database, functional GGA-PBE. Values from VASP.

Properties
symmetry: No. 129
M_tot: 1.21 μB/cell
ΔE to the lowest computed polymorph: 0.0000 eV per atom
N(E_F): 7.8 states/eV per cell
ΔH_f (0 K): -0.253 eV per atom

```
&SYSTEM
  ibrav = 0, nat = 6, ntyp = 3
/
ATOMIC_SPECIES
Ac 227.00 Ac.upf
Nd 144.24 Nd.upf
Tl 204.38 Tl.upf
CELL_PARAMETERS angstrom
4.989 0.000 0.000
0.000 4.989 0.000
0.000 0.000 8.717
ATOMIC_POSITIONS crystal
Ac 0.250 0.250 0.146
Ac 0.750 0.750 0.854
Nd 0.250 0.750 0.500
Nd 0.750 0.250 0.500
Tl 0.250 0.250 0.758
Tl 0.750 0.750 0.242
```


Crystalline AcNd3Tl at its relaxed geometry. Source: the Alexandria database, functional GGA-PBE. Values from VASP.

Properties
symmetry: No. 63
M_tot: 0.00 μB/cell
ΔE to the lowest computed polymorph: 0.0000 eV per atom
N(E_F): 14.6 states/eV per cell
ΔH_f (0 K): -0.106 eV per atom

```
&SYSTEM
  ibrav = 0, nat = 10, ntyp = 3
/
ATOMIC_SPECIES
Ac 227.00 Ac.upf
Nd 144.24 Nd.upf
Tl 204.38 Tl.upf
CELL_PARAMETERS angstrom
2.600 -13.386 0.000
2.600 13.386 0.000
0.000 0.000 4.936
ATOMIC_POSITIONS crystal
Ac 0.149 0.851 0.750
Ac 0.851 0.149 0.250
Nd 0.046 0.954 0.250
Nd 0.254 0.746 0.250
Nd 0.448 0.552 0.250
Nd 0.552 0.448 0.750
Nd 0.746 0.254 0.750
Nd 0.954 0.046 0.750
Tl 0.346 0.654 0.750
Tl 0.654 0.346 0.250
```


Crystalline Ac5NdTl6 at its relaxed geometry. Source: the Alexandria database, functional GGA-PBE. Values from VASP.

Properties
symmetry: No. 12
M_tot: 0.00 μB/cell
N(E_F): 14.5 states/eV per cell
ΔH_f (0 K): -0.352 eV per atom

```
&SYSTEM
  ibrav = 0, nat = 12, ntyp = 3
/
ATOMIC_SPECIES
Ac 227.00 Ac.upf
Nd 144.24 Nd.upf
Tl 204.38 Tl.upf
CELL_PARAMETERS angstrom
5.011 -8.701 0.000
5.011 8.701 0.000
-3.365 0.000 4.741
ATOMIC_POSITIONS crystal
Ac 0.000 0.000 0.000
Ac 0.163 0.837 0.500
Ac 0.327 0.673 0.000
Ac 0.673 0.327 0.000
Ac 0.837 0.163 0.500
Nd 0.500 0.500 0.500
Tl 0.097 0.421 0.260
Tl 0.267 0.267 0.768
Tl 0.421 0.097 0.260
Tl 0.579 0.903 0.740
Tl 0.733 0.733 0.232
Tl 0.903 0.579 0.740
```


Crystalline Ac3Nd4Tl4 at its relaxed geometry. Source: the Alexandria database, functional GGA-PBE. Values from VASP.

Properties
symmetry: No. 71
M_tot: 0.00 μB/cell
N(E_F): 10.3 states/eV per cell
ΔH_f (0 K): -0.234 eV per atom

```
&SYSTEM
  ibrav = 0, nat = 11, ntyp = 3
/
ATOMIC_SPECIES
Ac 227.00 Ac.upf
Nd 144.24 Nd.upf
Tl 204.38 Tl.upf
CELL_PARAMETERS angstrom
-2.449 4.399 9.083
2.449 -4.399 9.083
2.449 4.399 -9.083
ATOMIC_POSITIONS crystal
Ac 0.000 0.000 0.000
Ac 0.388 0.888 0.500
Ac 0.612 0.112 0.500
Nd 0.030 0.332 0.699
Nd 0.367 0.668 0.699
Nd 0.633 0.332 0.301
Nd 0.970 0.668 0.301
Tl 0.231 0.231 0.000
Tl 0.306 0.500 0.806
Tl 0.694 0.500 0.194
Tl 0.769 0.769 0.000
```


Crystalline Ac4NdTl at its relaxed geometry. Source: the Alexandria database, functional GGA-PBE. Values from VASP.

Properties
symmetry: No. 109
M_tot: 0.00 μB/cell
ΔE to the lowest computed polymorph: 0.4342 eV per atom
N(E_F): 19.9 states/eV per cell
ΔH_f (0 K): 0.343 eV per atom

```
&SYSTEM
  ibrav = 0, nat = 12, ntyp = 3
/
ATOMIC_SPECIES
Ac 227.00 Ac.upf
Nd 144.24 Nd.upf
Tl 204.38 Tl.upf
CELL_PARAMETERS angstrom
-6.066 6.066 3.928
6.066 -6.066 3.928
6.066 6.066 -3.928
ATOMIC_POSITIONS crystal
Ac 0.206 0.493 0.713
Ac 0.243 0.030 0.787
Ac 0.243 0.456 0.213
Ac 0.256 0.000 0.256
Ac 0.744 0.000 0.744
Ac 0.750 0.506 0.756
Ac 0.750 0.994 0.244
Ac 0.780 0.493 0.287
Nd 0.246 0.746 0.500
Nd 0.496 0.496 0.000
Tl 0.676 0.176 0.500
Tl 0.926 0.926 0.000
```


Crystalline AcNd2Tl9 at its relaxed geometry. Source: the Alexandria database, functional GGA-PBE. Values from VASP.

Properties
symmetry: No. 123
M_tot: 0.00 μB/cell
N(E_F): 4.3 states/eV per cell
ΔH_f (0 K): -0.316 eV per atom

```
&SYSTEM
  ibrav = 0, nat = 12, ntyp = 3
/
ATOMIC_SPECIES
Ac 227.00 Ac.upf
Nd 144.24 Nd.upf
Tl 204.38 Tl.upf
CELL_PARAMETERS angstrom
4.897 0.000 0.000
0.000 4.897 0.000
0.000 0.000 14.675
ATOMIC_POSITIONS crystal
Ac 0.000 0.000 0.000
Nd 0.000 0.000 0.339
Nd 0.000 0.000 0.661
Tl 0.000 0.500 0.174
Tl 0.000 0.500 0.500
Tl 0.000 0.500 0.826
Tl 0.500 0.000 0.174
Tl 0.500 0.000 0.500
Tl 0.500 0.000 0.826
Tl 0.500 0.500 0.000
Tl 0.500 0.500 0.336
Tl 0.500 0.500 0.664
```


Crystalline AcNd5Tl2 at its relaxed geometry. Source: the Alexandria database, functional GGA-PBE. Values from VASP.

Properties
symmetry: No. 71
M_tot: 0.00 μB/cell
N(E_F): 11.5 states/eV per cell
ΔH_f (0 K): -0.140 eV per atom

```
&SYSTEM
  ibrav = 0, nat = 8, ntyp = 3
/
ATOMIC_SPECIES
Ac 227.00 Ac.upf
Nd 144.24 Nd.upf
Tl 204.38 Tl.upf
CELL_PARAMETERS angstrom
-1.917 5.475 6.506
1.917 -5.475 6.506
1.917 5.475 -6.506
ATOMIC_POSITIONS crystal
Ac 0.000 0.000 0.000
Nd 0.139 0.362 0.778
Nd 0.416 0.638 0.778
Nd 0.500 0.000 0.500
Nd 0.584 0.362 0.222
Nd 0.861 0.638 0.222
Tl 0.237 0.737 0.500
Tl 0.763 0.263 0.500
```


Crystalline Ac2Nd2Tl7 at its relaxed geometry. Source: the Alexandria database, functional GGA-PBE. Values from VASP.

Properties
symmetry: No. 65
M_tot: 0.00 μB/cell
N(E_F): 9.5 states/eV per cell
ΔH_f (0 K): 0.029 eV per atom

```
&SYSTEM
  ibrav = 0, nat = 11, ntyp = 3
/
ATOMIC_SPECIES
Ac 227.00 Ac.upf
Nd 144.24 Nd.upf
Tl 204.38 Tl.upf
CELL_PARAMETERS angstrom
4.395 -5.655 0.000
4.395 5.655 0.000
0.000 0.000 8.164
ATOMIC_POSITIONS crystal
Ac 0.195 0.805 0.000
Ac 0.805 0.195 0.000
Nd 0.314 0.314 0.500
Nd 0.686 0.686 0.500
Tl 0.000 0.000 0.309
Tl 0.000 0.000 0.691
Tl 0.000 0.500 0.308
Tl 0.000 0.500 0.692
Tl 0.500 0.000 0.308
Tl 0.500 0.000 0.692
Tl 0.500 0.500 0.000
```


Crystalline AcNd7Tl2 at its relaxed geometry. Source: the Alexandria database, functional GGA-PBE. Values from VASP.

Properties
symmetry: No. 65
M_tot: 0.00 μB/cell
N(E_F): 19.5 states/eV per cell
ΔH_f (0 K): 0.305 eV per atom

```
&SYSTEM
  ibrav = 0, nat = 10, ntyp = 3
/
ATOMIC_SPECIES
Ac 227.00 Ac.upf
Nd 144.24 Nd.upf
Tl 204.38 Tl.upf
CELL_PARAMETERS angstrom
4.680 -7.939 0.000
4.680 7.939 0.000
0.000 0.000 5.692
ATOMIC_POSITIONS crystal
Ac 0.000 0.000 0.000
Nd 0.058 0.303 0.500
Nd 0.235 0.765 0.000
Nd 0.303 0.058 0.500
Nd 0.500 0.500 0.500
Nd 0.697 0.942 0.500
Nd 0.765 0.235 0.000
Nd 0.942 0.697 0.500
Tl 0.305 0.695 0.500
Tl 0.695 0.305 0.500
```


Crystalline AcNd3Tl3 at its relaxed geometry. Source: the Alexandria database, functional GGA-PBE. Values from VASP.

Properties
symmetry: No. 198
M_tot: 0.00 μB/cell
ΔE to the lowest computed polymorph: 0.0000 eV per atom
N(E_F): 32.1 states/eV per cell
ΔH_f (0 K): -0.274 eV per atom

```
&SYSTEM
  ibrav = 0, nat = 28, ntyp = 3
/
ATOMIC_SPECIES
Ac 227.00 Ac.upf
Nd 144.24 Nd.upf
Tl 204.38 Tl.upf
CELL_PARAMETERS angstrom
9.777 0.000 0.000
0.000 9.777 0.000
0.000 0.000 9.777
ATOMIC_POSITIONS crystal
Ac 0.072 0.428 0.572
Ac 0.428 0.572 0.072
Ac 0.572 0.072 0.428
Ac 0.928 0.928 0.928
Nd 0.079 0.579 0.921
Nd 0.179 0.821 0.321
Nd 0.180 0.180 0.180
Nd 0.320 0.820 0.680
Nd 0.321 0.179 0.821
Nd 0.421 0.421 0.421
Nd 0.579 0.921 0.079
Nd 0.679 0.679 0.679
Nd 0.680 0.320 0.820
Nd 0.820 0.680 0.320
Nd 0.821 0.321 0.179
Nd 0.921 0.079 0.579
Tl 0.002 0.260 0.885
Tl 0.115 0.502 0.240
Tl 0.240 0.115 0.502
Tl 0.260 0.885 0.002
Tl 0.385 0.498 0.740
Tl 0.498 0.740 0.385
Tl 0.502 0.240 0.115
Tl 0.615 0.998 0.760
Tl 0.740 0.385 0.498
Tl 0.760 0.615 0.998
Tl 0.885 0.002 0.260
Tl 0.998 0.760 0.615
```